DFT (PBE-GGA) results for a geometry-optimized NdHoTe3 structure.

The uncorrected formation energy comes out at -1.41 eV per atom. The value obtained for the relative energy among the computed polymorphs is 0.0025 eV/atom.

The structure belongs to space group Pnma (No. 62); the cell edges are 8.2827, 4.4028 and 17.3988 Å and the angles 90.00°, 90.00° and 90.00°. The inequivalent atoms are Nd at (0.1351, 0.2500, 0.2002), Ho at (0.2278, 0.7500, 0.4584), Te at (0.0048, 0.2500, 0.3938), Te at (0.1178, 0.7500, 0.0629) and Te at (0.1565, 0.2500, 0.7858).

=====

DFT (PBE-GGA) results for a geometry-optimized Nd2Ho2Te5 structure.

The uncorrected formation energy comes out at -1.31 eV per atom.

The structure belongs to space group Cmce (No. 64); the cell edges are 15.9939, 8.2548 and 8.2431 Å and the angles 90.00°, 90.00° and 90.00°. The inequivalent atoms are Nd at (0.1978, 0.0000, 0.0000), Ho at (0.0000, 0.1451, 0.3506), Te at (0.0000, 0.0000, 0.0000) and Te at (0.1360, 0.1594, 0.6562).

=====

DFT (PBE-GGA) results for a geometry-optimized NdHo3Te structure.

The uncorrected formation energy comes out at -0.37 eV per atom.

The structure belongs to space group P2_1/c (No. 14); the cell edges are 8.5119, 8.7802 and 9.9421 Å and the angles 90.00°, 124.56° and 90.00°. The inequivalent atoms are Nd at (0.1591, 0.0739, 0.4228), Ho at (0.1051, 0.6750, 0.5113), Ho at (0.2810, 0.0609, 0.8370), Ho at (0.4216, 0.1151, 0.2405) and Te at (0.3802, 0.7083, 0.8939).